# Zr2NiP2 PBEsol optimized geometry
# DFT total energy	-8.566	eV per atom
# energy relative to the elements	-1382	meV/atom
# N(E_F)	1.5	states/eV per cell
data_Zr2NiP2
_chemical_formula_sum 'Zr4 Ni2 P4'
_cell_length_a 3.7417
_cell_length_b 3.7417
_cell_length_c 12.9111
_cell_angle_alpha 90.00
_cell_angle_beta 90.00
_cell_angle_gamma 120.00
_symmetry_space_group_name_H-M 'P 63/m m c'
_symmetry_Int_Tables_number 194
_symmetry_space_group_name_Hall '-P 6c 2c'
loop_
_atom_site_label
_atom_site_type_symbol
_atom_site_fract_x
_atom_site_fract_y
_atom_site_fract_z
Zr1 Zr 0.3333 0.6667 0.1098
Ni1 Ni 0.0000 0.0000 0.2500
P1 P 0.0000 0.0000 0.0000
P2 P 0.3333 0.6667 0.7500